No. 1
## Nd6Cu2Pd (PBE-GGA)

Data for a geometry-optimized Nd6Cu2Pd structure.

Cell: 8.6377 8.6377 8.6377 Å, 109.94 109.73 108.74°
Closest atoms and distances in Å follow each position.
Positions (direct):
Nd1 0.0607 0.2444 0.8163  2 Pd 3.06-3.15, 2 Cu 3.08-3.39
Nd2 0.1738 0.4775 0.3037  3 Cu 2.85-3.00
Nd3 0.1738 0.8701 0.6963  3 Cu 2.85-3.00
Nd4 0.3260 0.2351 0.5610  3 Cu 3.14-3.17, 1 Pd 3.15, 1 Nd 3.46
Nd5 0.3260 0.7649 0.0909  3 Cu 3.14-3.17, 1 Pd 3.15, 1 Nd 3.46
Nd6 0.4281 0.2444 0.1837  2 Pd 3.06-3.15, 2 Cu 3.08-3.39
Nd7 0.5719 0.7556 0.8163  2 Pd 3.06-3.15, 2 Cu 3.08-3.39
Nd8 0.6740 0.2351 0.9091  3 Cu 3.14-3.17, 1 Pd 3.15, 1 Nd 3.46
Nd9 0.6740 0.7649 0.4390  3 Cu 3.14-3.17, 1 Pd 3.15, 1 Nd 3.46
Nd10 0.8262 0.1299 0.3037  3 Cu 2.85-3.00
Nd11 0.8262 0.5225 0.6963  3 Cu 2.85-3.00
Nd12 0.9393 0.7556 0.1837  2 Pd 3.06-3.15, 2 Cu 3.08-3.39
Cu1 0.1468 0.5000 0.6468  1 Cu 2.92, 8 Nd 3.00-3.17
Cu2 0.3813 0.8813 0.5000  1 Cu 2.39
Cu3 0.6187 0.1187 0.5000  1 Cu 2.39
Cu4 0.8532 0.5000 0.3532  1 Cu 2.92, 8 Nd 3.00-3.17
Pd1 0.0000 0.0000 0.0000  4 Nd 3.06
Pd2 0.5000 0.5000 0.0000  8 Nd 3.15, 2 Cu 3.51

Output
The formation energy is -20.6 kJ per mole of atoms. The calculated total energy is -87.8 eV per cell. The value obtained for the theoretical density is 7.358 Mg/m³. The space group is Immm. The value obtained for the density of states at the Fermi level is 18.91 states/eV/cell.



No. 2
## Na2LaClO2 (PBE-GGA)

Data for a geometry-optimized Na2LaClO2 structure.

Cell: 6.0603 6.1051 7.1713 Å, 90.00 102.03 90.00°
Closest atoms and distances in Å follow each position.
Positions (direct):
Na1 0.0528 0.2500 0.0485  4 O 2.33-2.45
Na2 0.2115 0.7500 0.6632  2 O 2.33
Na3 0.7885 0.2500 0.3368  2 O 2.33
Na4 0.9472 0.7500 0.9515  4 O 2.33-2.45
La1 0.4981 0.7500 0.1373  4 O 2.26-2.37
La2 0.5019 0.2500 0.8627  4 O 2.26-2.37
Cl1 0.3024 0.2500 0.4263  3 Na 2.81-3.14, 1 La 3.11
Cl2 0.6976 0.7500 0.5737  3 Na 2.81-3.14, 1 La 3.11
O1 0.2623 0.5107 0.9225  2 La 2.26-2.37, 3 Na 2.33-2.45
O2 0.2623 0.9893 0.9225  2 La 2.26-2.37, 3 Na 2.33-2.45
O3 0.7377 0.0107 0.0775  2 La 2.26-2.37, 3 Na 2.33-2.45
O4 0.7377 0.4893 0.0775  2 La 2.26-2.37, 3 Na 2.33-2.45

Output
The calculated total energy is -65.4 eV per cell. The calculation puts the formation energy from raw total energies at -1289 kJ/mol of formula units. The value obtained for the theoretical density is 3.229 Mg/m³. The space group is P2_1/m. The value obtained for the density of states at the Fermi level is 0.00 states/eV/cell.



No. 3
## Cd4AgOs (PBE-GGA)

Data for a geometry-optimized Cd4AgOs structure.

Cell: 5.5098 5.5098 5.5098 Å, 60.00 60.00 60.00°
Closest atoms and distances in Å follow each position.
Positions (direct):
Cd1 0.1247 0.1247 0.1247  6 Cd 2.75-2.76
Cd2 0.1247 0.1247 0.6260  6 Cd 2.75-2.76
Cd3 0.1247 0.6260 0.1247  6 Cd 2.75-2.76
Cd4 0.6260 0.1247 0.1247  6 Cd 2.75-2.76
Ag1 0.5000 0.5000 0.5000  12 Cd 3.23, 4 Os 3.37
Os1 0.7500 0.7500 0.7500  12 Cd 3.23, 4 Ag 3.37

Output
The formation energy is 65.7 kJ per mole of atoms. The calculated total energy is -13.7 eV per cell. The value obtained for the theoretical density is 10.498 Mg/m³. The space group is F-43m. The value obtained for the density of states at the Fermi level is 5.34 states/eV/cell.



No. 4
## Ac6Bi3Te2Se (PBE-GGA)

Data for a geometry-optimized Ac6Bi3Te2Se structure.

Cell: 10.6433 10.6433 9.5015 Å, 102.35 102.35 25.99°
Closest atoms and distances in Å follow each position.
Positions (direct):
Ac1 0.0018 0.0018 0.2621  2 Se 3.30, 1 Te 3.40, 3 Bi 3.40-3.45
Ac2 0.3343 0.3343 0.9147  3 Bi 3.35-3.36, 3 Te 3.38-3.41
Ac3 0.3397 0.3397 0.4208  1 Se 3.24, 3 Bi 3.37-3.44, 2 Te 3.38
Ac4 0.6603 0.6603 0.5792  1 Se 3.24, 3 Bi 3.37-3.44, 2 Te 3.38
Ac5 0.6657 0.6657 0.0853  3 Bi 3.35-3.36, 3 Te 3.38-3.41
Ac6 0.9982 0.9982 0.7379  2 Se 3.30, 1 Te 3.40, 3 Bi 3.40-3.45
Bi1 0.1698 0.1698 0.3356  6 Ac 3.36-3.44
Bi2 0.5000 0.5000 0.0000  6 Ac 3.35-3.45
Bi3 0.8302 0.8302 0.6644  6 Ac 3.36-3.44
Te1 0.1660 0.1660 0.8336  6 Ac 3.38-3.41
Te2 0.8340 0.8340 0.1664  6 Ac 3.38-3.41
Se1 0.5000 0.5000 0.5000  6 Ac 3.24-3.30

Output
The calculated total energy is -61.8 eV per cell. The calculation puts the formation energy from raw total energies at -1523 kJ/mol of formula units. The value obtained for the theoretical density is 8.384 Mg/m³. The space group is C2/m. The value obtained for the density of states at the Fermi level is 5.63 states/eV/cell.



Which volume belongs to each record? In order, 27.6 21.6 19.7 38.3 Å³ per atom.